Computed, not measured: a relaxed structure of Cs2TiWF6 at the GGA+U level of DFT.

Cell: 6.298 6.298 6.298 Å, 120.32 120.32 89.44°
Positions (direct):
1 Cs 0.250 0.750 0.500
2 Cs 0.750 0.250 0.500
3 Ti 0.000 0.000 0.000
4 W 0.500 0.500 0.000
5 F 0.240 0.240 0.480
6 F 0.240 0.760 0.000
7 F 0.255 0.255 0.000
8 F 0.745 0.745 0.000
9 F 0.760 0.240 0.000
10 F 0.760 0.760 0.520

Summary:
**DOS at the Fermi energy**: 0.866 states/eV per atom
**VASP energy**: -51.61 eV per formula unit